No. 1
Material: Y2Ho2CBr3Cl2
Method: DFT, PBE
State: relaxed

a = 17.1670 Å, b = 3.7839 Å, c = 8.1473 Å
α = 90.00°, β = 103.04°, γ = 90.00°
Space group C2/m (No. 12)
Inequivalent atoms, fractional coordinates:
Y  0.0019  0.0000  0.2990 [4 per cell]
Ho  0.1421  0.5000  0.5713 [4 per cell]
C  0.0000  0.5000  0.5000 [2 per cell]
Br  0.0000  0.5000  0.0000 [2 per cell]
Br  0.1693  0.0000  0.8364 [4 per cell]
Cl  0.1717  0.0000  0.3487 [4 per cell]

Computed properties:
M_tot = 0.222 μB/cell
Calculated volume = 515.6 Å³/cell
Excess energy over the best structure of this formula in the dataset = 0.04 eV per formula unit
E = -5.537 eV per atom

***

No. 2
Material: Y2Ho2CBr2Cl3
Method: DFT, PBE
State: relaxed

a = 17.1662 Å, b = 3.7432 Å, c = 7.8282 Å
α = 90.00°, β = 102.67°, γ = 90.00°
Space group C2/m (No. 12)
Inequivalent atoms, fractional coordinates:
Y  0.1434  0.0000  0.0744 [4 per cell]
Ho  0.0023  0.5000  0.7925 [4 per cell]
C  0.0000  0.0000  0.0000 [2 per cell]
Br  0.1661  0.5000  0.3542 [4 per cell]
Cl  0.0000  0.0000  0.5000 [2 per cell]
Cl  0.1703  0.5000  0.8341 [4 per cell]

Computed properties:
M_tot = 0.148 μB/cell
Calculated volume = 490.8 Å³/cell
Excess energy over the best structure of this formula in the dataset = 0.06 eV per formula unit
E = -5.604 eV per atom

***

No. 3
Material: Y2Ho2CBr3Cl2
Method: DFT, PBE
State: relaxed

a = 17.5520 Å, b = 3.7864 Å, c = 8.0717 Å
α = 90.00°, β = 103.70°, γ = 90.00°
Space group C2/m (No. 12)
Inequivalent atoms, fractional coordinates:
Y  0.0002  0.0000  0.2027 [4 per cell]
Ho  0.1398  0.5000  0.0772 [4 per cell]
C  0.0000  0.5000  0.0000 [2 per cell]
Br  0.0000  0.5000  0.5000 [2 per cell]
Br  0.1714  0.0000  0.8319 [4 per cell]
Cl  0.1613  0.0000  0.3239 [4 per cell]

Computed properties:
M_tot = 0.148 μB/cell
Calculated volume = 521.2 Å³/cell
Excess energy over the best structure of this formula in the dataset = 0.02 eV per formula unit
E = -5.540 eV per atom

***

No. 4
Material: Y2Ho2CBr2Cl3
Method: DFT, PBE
State: relaxed

a = 17.1490 Å, b = 3.7608 Å, c = 7.8648 Å
α = 90.00°, β = 102.48°, γ = 90.00°
Space group C2/m (No. 12)
Inequivalent atoms, fractional coordinates:
Y  0.0026  0.0000  0.2915 [4 per cell]
Ho  0.1417  0.5000  0.5725 [4 per cell]
C  0.0000  0.5000  0.5000 [2 per cell]
Br  0.1679  0.0000  0.8478 [4 per cell]
Cl  0.0000  0.5000  0.0000 [2 per cell]
Cl  0.1716  0.0000  0.3411 [4 per cell]

Computed properties:
M_tot = 0.043 μB/cell
Calculated volume = 495.2 Å³/cell
Excess energy over the best structure of this formula in the dataset = 0.06 eV per formula unit
E = -5.604 eV per atom

***

No. 5
Material: Y2Ho2CBr2Cl3
Method: DFT, PBE
State: relaxed

a = 17.5489 Å, b = 3.7389 Å, c = 7.7908 Å
α = 90.00°, β = 103.45°, γ = 90.00°
Space group C2/m (No. 12)
Inequivalent atoms, fractional coordinates:
Y  0.1408  0.0000  0.0782 [4 per cell]
Ho  0.0004  0.5000  0.2096 [4 per cell]
C  0.0000  0.0000  0.0000 [2 per cell]
Br  0.1701  0.5000  0.8174 [4 per cell]
Cl  0.0000  0.0000  0.5000 [2 per cell]
Cl  0.1595  0.5000  0.3383 [4 per cell]

Computed properties:
M_tot = 0.307 μB/cell
Calculated volume = 497.2 Å³/cell
Excess energy over the best structure of this formula in the dataset = 0.00 eV per formula unit
E = -5.610 eV per atom

***

No. 6
Material: Y2Ho2CBr3Cl2
Method: DFT, PBE
State: relaxed

a = 17.4999 Å, b = 3.7688 Å, c = 8.0344 Å
α = 90.00°, β = 103.71°, γ = 90.00°
Space group C2/m (No. 12)
Inequivalent atoms, fractional coordinates:
Y  0.1409  0.0000  0.0777 [4 per cell]
Ho  0.0003  0.5000  0.2021 [4 per cell]
C  0.0000  0.0000  0.0000 [2 per cell]
Br  0.0000  0.0000  0.5000 [2 per cell]
Br  0.1702  0.5000  0.8249 [4 per cell]
Cl  0.1597  0.5000  0.3297 [4 per cell]

Computed properties:
M_tot = 0.505 μB/cell
Calculated volume = 514.8 Å³/cell
Excess energy over the best structure of this formula in the dataset = 0.00 eV per formula unit
E = -5.542 eV per atom